[1]
Compound: Ac3PuCr2N6
Source: the Alexandria database
Functional: PBE
Structure: optimized geometry

Output
formation energy without anion corrections: -0.9425 eV per atom
spin magnetization: 6.11 μB per formula unit
Fermi-level density of states: 0.519 states/eV per atom

Unit cell a=5.9207 b=5.9207 c=7.0139 alpha=90.00 beta=90.00 gamma=120.00
Space group P-3m1 (No. 164)
Symmetry-distinct sites (fractional):
Ac (0.0000, 0.0000, 0.0000)
Ac (0.3333, 0.6667, 0.6799)
Pu (0.0000, 0.0000, 0.5000)
Cr (0.3333, 0.6667, 0.2114)
N (0.1720, 0.3441, 0.2997)

[2]
Compound: U2PaSe5
Source: the Alexandria database
Functional: PBE
Structure: optimized geometry

Output
formation energy without anion corrections: -1.2227 eV per atom
spin magnetization: 6.97 μB per formula unit
Fermi-level density of states: 2.144 states/eV per atom

Unit cell a=12.197 b=8.271 c=7.726 alpha=90.00 beta=90.00 gamma=90.00
Space group Pnma (No. 62)
Symmetry-distinct sites (fractional):
U (0.180, 0.000, 0.023)
Pa (0.009, 0.250, 0.584)
Se (0.001, 0.250, 0.965)
Se (0.097, 0.551, 0.669)
Se (0.185, 0.250, 0.329)
Se (0.220, 0.750, 0.298)

[3]
Compound: CsNa2NpBr6
Source: the Alexandria database
Functional: PBE
Structure: optimized geometry

Output
formation energy without anion corrections: -1.5121 eV per atom
spin magnetization: 4.00 μB per formula unit
Fermi-level density of states: 0.463 states/eV per atom

Unit cell a=7.7541 b=7.7541 c=21.4643 alpha=90.00 beta=90.00 gamma=120.00
Space group R3 (No. 146, hexagonal axes)
Symmetry-distinct sites (fractional):
Cs (0.0000, 0.0000, 0.0000)
Na (0.0000, 0.0000, 0.2739)
Na (0.0000, 0.0000, 0.7913)
Np (0.0000, 0.0000, 0.4666)
Br (0.0005, 0.3250, 0.5358)
Br (0.0163, 0.5676, 0.0431)

[4]
Compound: SnHSe2Br
Source: the Alexandria database
Functional: PBE
Structure: optimized geometry

Output
spin magnetization: 1.83 μB per formula unit
raw total energy: -2.6077 eV/atom
Fermi-level density of states: 1.250 states/eV per atom

Unit cell a=5.319 b=5.319 c=5.648 alpha=90.00 beta=90.00 gamma=90.00
Space group P4/mmm (No. 123)
Symmetry-distinct sites (fractional):
Sn (0.000, 0.000, 0.000)
H (0.500, 0.500, 0.500)
Se (0.000, 0.500, 0.000)
Br (0.000, 0.000, 0.500)

[5]
Compound: Na2Sr3Tl
Source: the Alexandria database
Functional: PBE
Structure: optimized geometry

Output
spin magnetization: 0.00 μB per formula unit
Fermi-level density of states: 0.795 states/eV per atom
energy of formation: -0.1316 eV per atom

Unit cell a=6.0817 b=6.0817 c=14.7890 alpha=90.00 beta=90.00 gamma=120.00
Space group P-3m1 (No. 164)
Symmetry-distinct sites (fractional):
Na (0.0000, 0.0000, 0.0000)
Na (0.0000, 0.0000, 0.5000)
Na (0.3333, 0.6667, 0.1675)
Sr (0.0000, 0.0000, 0.2633)
Sr (0.3333, 0.6667, 0.4183)
Sr (0.3333, 0.6667, 0.9011)
Tl (0.3333, 0.6667, 0.6625)

[6]
Compound: La3Tb3Dy
Source: the Alexandria database
Functional: PBE
Structure: optimized geometry

Output
spin magnetization: 0.00 μB per formula unit
Fermi-level density of states: 1.383 states/eV per atom
energy of formation: 0.1302 eV per atom

Unit cell a=9.4951 b=9.4951 c=18.8267 alpha=90.00 beta=90.00 gamma=120.00
Space group R-3 (No. 148, hexagonal axes)
Symmetry-distinct sites (fractional):
La (0.0511, 0.2434, 0.0778)
Tb (0.0505, 0.2353, 0.2607)
Dy (0.0000, 0.0000, 0.4089)